First-principles (PBE) data for an optimized crystal structure of TmBrF, as listed in Alexandria via LeMat-Bulk.

a = 9.394 Å, b = 9.394 Å, c = 4.047 Å
α = 90.00°, β = 90.00°, γ = 120.00°
Sites, in units of the cell vectors:
Tm: 0.629 0.131 0.888
F: 0.879 0.287 0.725
Br: 0.315 0.403 0.721
Tm: 0.501 0.371 0.222
Br: 0.597 0.913 0.387
F: 0.713 0.592 0.391
F: 0.408 0.121 0.058
Tm: 0.869 0.499 0.555
Br: 0.087 0.685 0.054

Summary:
Space-group type: P3_2 (145)
E_tot, eV/atom: -5.145
Energy relative to the elements, uncorrected, eV/atom: -2.47

First-principles (PBE) data for an optimized crystal structure of Tm2Br2F, as listed in Alexandria via LeMat-Bulk.

a = 3.849 Å, b = 3.849 Å, c = 13.669 Å
α = 90.00°, β = 90.00°, γ = 90.00°
Sites, in units of the cell vectors:
Br: 0.500 0.500 0.657
Br: 0.500 0.500 0.343
Tm: 0.500 0.500 0.842
Tm: 0.500 0.500 0.158
F: 0.500 0.500 0.000

Summary:
Space-group type: P4/mmm (123)
E_tot, eV/atom: -4.224
Energy relative to the elements, uncorrected, eV/atom: -1.39

First-principles (PBE) data for an optimized crystal structure of U2BrF6, as listed in Alexandria via LeMat-Bulk.

a = 4.174 Å, b = 6.457 Å, c = 6.457 Å
α = 69.96°, β = 71.14°, γ = 71.14°
Sites, in units of the cell vectors:
U: 0.704 0.296 0.296
F: 0.217 0.450 0.116
F: 0.217 0.116 0.450
U: 0.296 0.704 0.704
F: 0.783 0.884 0.550
F: 0.500 0.662 0.338
Br: 0.000 0.000 0.000
F: 0.500 0.338 0.662
F: 0.783 0.550 0.884

Summary:
Space-group type: Immm (71)
E_tot, eV/atom: -7.117
Energy relative to the elements, uncorrected, eV/atom: -3.17

First-principles (PBE) data for an optimized crystal structure of U2Br8F, as listed in Alexandria via LeMat-Bulk.

a = 5.702 Å, b = 10.231 Å, c = 10.231 Å
α = 68.62°, β = 74.79°, γ = 74.79°
Sites, in units of the cell vectors:
Br: 0.305 0.693 0.693
Br: 0.864 0.906 0.365
Br: 0.864 0.365 0.906
Br: 0.366 0.132 0.132
U: 0.146 0.858 0.858
F: 0.000 0.000 0.000
Br: 0.634 0.868 0.868
Br: 0.136 0.635 0.094
Br: 0.136 0.094 0.635
U: 0.854 0.142 0.142
Br: 0.695 0.307 0.307

Summary:
Space-group type: C2/m (12)
E_tot, eV/atom: -4.916
Energy relative to the elements, uncorrected, eV/atom: -1.48

Number 3 is which compound? U2BrF6

Which value of E_tot does entry 2 give? -4.224 eV/atom

What is the formula in the fourth record? U2Br8F